No. 1
Here is a relaxed structure of Pm3Zn2Ru from the Alexandria database. Energies are from PBE-GGA.

Cell and atoms, written as POSCAR:
```
Pm3Zn2Ru
1.0
3.578 0.000 0.000
0.000 3.578 0.000
0.000 0.000 11.050
Pm Zn Ru
3 2 1
direct
0.000 0.000 0.000
0.000 0.000 0.346
0.000 0.000 0.654
0.500 0.500 0.168
0.500 0.500 0.832
0.500 0.500 0.500
```

Results
- V (Å³ per cell) = 141
- space-group type = P4/mmm (123)
- calculated density (g/cm3) = 7.8
- ΔE to the lowest computed polymorph (meV per atom) = 18
- energy relative to the elements (eV/atom) = -0.27


No. 2
Here is a relaxed structure of Rb2Pa2Te7 from the Alexandria database. Energies are from PBE-GGA.

Cell and atoms, written as POSCAR:
```
Rb2Pa2Te7
1.0
4.384 -4.408 0.000
4.384 4.408 0.000
-0.487 0.000 11.514
Rb Pa Te
2 2 7
direct
0.244 0.756 0.000
0.756 0.244 0.000
0.187 0.187 0.600
0.813 0.813 0.400
0.074 0.696 0.634
0.249 0.249 0.851
0.304 0.926 0.366
0.500 0.500 0.500
0.696 0.074 0.634
0.751 0.751 0.149
0.926 0.304 0.366
```

Results
- V (Å³ per cell) = 445
- space-group type = C2/m (12)
- calculated density (g/cm3) = 5.7
- ΔE to the lowest computed polymorph (meV per atom) = 30
- energy relative to the elements, uncorrected (meV/atom) = -758


No. 3
Here is a relaxed structure of LiLuMg4 from the Alexandria database. Energies are from PBE-GGA.

Cell and atoms, written as POSCAR:
```
LiLuMg4
1.0
0.000 4.195 4.195
4.195 0.000 4.195
4.195 4.195 0.000
Li Lu Mg
1 1 4
direct
0.000 0.000 0.000
0.250 0.250 0.250
0.125 0.625 0.625
0.625 0.125 0.625
0.625 0.625 0.125
0.625 0.625 0.625
```

Results
- V (Å³ per cell) = 148
- space-group type = F-43m (216)
- calculated density (g/cm3) = 3.1
- energy relative to the elements (eV/atom) = 0.05


No. 4
Here is a relaxed structure of K2CoTc from the Alexandria database. Energies are from PBE-GGA.

Cell and atoms, written as POSCAR:
```
K2CoTc
1.0
1.431 0.826 11.516
-1.431 0.826 11.516
0.000 -1.653 11.516
K Co Tc
2 1 1
direct
0.248 0.248 0.248
0.752 0.752 0.752
0.500 0.500 0.500
0.000 0.000 0.000
```

Results
- V (Å³ per cell) = 82
- space-group type = R-3m (166)
- calculated density (g/cm3) = 4.8
- ΔE to the lowest computed polymorph (meV per atom) = 617
- energy relative to the elements (eV/atom) = 1.39


No. 5
Here is a relaxed structure of BaTbAlSe4 from the Alexandria database. Energies are from PBE-GGA.

Cell and atoms, written as POSCAR:
```
BaTbAlSe4
1.0
6.837 0.000 0.000
0.000 7.045 0.000
-2.637 0.000 8.376
Ba Tb Al Se
2 2 2 8
direct
0.248 0.250 0.060
0.752 0.750 0.940
0.225 0.250 0.553
0.775 0.750 0.447
0.232 0.750 0.326
0.768 0.250 0.674
0.009 0.507 0.719
0.009 0.993 0.719
0.428 0.750 0.144
0.448 0.750 0.590
0.552 0.250 0.410
0.572 0.250 0.856
0.991 0.007 0.281
0.991 0.493 0.281
```

Results
- V (Å³ per cell) = 403
- space-group type = P2_1/m (11)
- calculated density (g/cm3) = 5.3
- energy relative to the elements, uncorrected (meV/atom) = -1586


No. 6
Here is a relaxed structure of Cs2SiPb2 from the Alexandria database. Energies are from PBE-GGA.

Cell and atoms, written as POSCAR:
```
Cs2SiPb2
1.0
7.712 0.000 0.000
0.000 7.712 0.000
0.000 0.000 6.580
Cs Si Pb
4 2 4
direct
0.178 0.322 0.000
0.322 0.822 0.000
0.678 0.178 0.000
0.822 0.678 0.000
0.000 0.000 0.500
0.500 0.500 0.500
0.146 0.646 0.500
0.354 0.146 0.500
0.646 0.854 0.500
0.854 0.354 0.500
```

Results
- V (Å³ per cell) = 391
- space-group type = P4/mbm (127)
- calculated density (g/cm3) = 6.0
- ΔE to the lowest computed polymorph (meV per atom) = 0
- energy relative to the elements, uncorrected (meV/atom) = 115


No. 7
Here is a relaxed structure of Ti2BeTcH from the Alexandria database. Energies are from PBE-GGA.

Cell and atoms, written as POSCAR:
```
Ti2BeTcH
1.0
4.225 0.000 0.000
0.000 4.225 0.000
0.000 0.000 3.224
Ti Be Tc H
2 1 1 1
direct
0.000 0.500 0.000
0.500 0.000 0.000
0.000 0.000 0.500
0.500 0.500 0.500
0.000 0.000 0.000
```

Results
- V (Å³ per cell) = 58
- space-group type = P4/mmm (123)
- calculated density (g/cm3) = 5.9
- E_tot (eV/atom) = -6.961


No. 8
Here is a relaxed structure of AlV3Os from the Alexandria database. Energies are from PBE-GGA.

Cell and atoms, written as POSCAR:
```
AlV3Os
1.0
4.582 0.000 0.000
0.000 4.582 0.000
0.000 0.000 4.582
Al V Os
1 3 1
direct
0.000 0.000 0.000
0.000 0.500 0.500
0.500 0.000 0.500
0.500 0.500 0.000
0.500 0.500 0.500
```

Results
- V (Å³ per cell) = 96
- space-group type = Pm-3m (221)
- calculated density (g/cm3) = 6.4
- ΔE to the lowest computed polymorph (meV per atom) = 0
- energy relative to the elements (eV/atom) = 0.99


No. 9
Here is a relaxed structure of Ac2SnHPt6 from the Alexandria database. Energies are from PBE-GGA.

Cell and atoms, written as POSCAR:
```
Ac2SnHPt6
1.0
5.135 -2.967 0.000
5.135 2.967 0.000
-3.432 0.000 6.422
Ac Sn H Pt
2 1 1 6
direct
0.227 0.227 0.182
0.773 0.773 0.818
0.500 0.500 0.000
0.000 0.000 0.500
0.226 0.226 0.678
0.226 0.727 0.679
0.273 0.774 0.321
0.727 0.226 0.679
0.774 0.273 0.321
0.774 0.774 0.322
```

Results
- V (Å³ per cell) = 196
- space-group type = C2/m (12)
- calculated density (g/cm3) = 14.8
- E_tot (eV/atom) = -5.914


No. 10
Here is a relaxed structure of TiAlP2S from the Alexandria database. Energies are from PBE-GGA.

Cell and atoms, written as POSCAR:
```
TiAlP2S
1.0
4.754 0.000 0.000
0.000 4.754 0.000
0.000 0.000 4.625
Ti Al P S
1 1 2 1
direct
0.000 0.000 0.000
0.500 0.500 0.500
0.000 0.500 0.000
0.500 0.000 0.000
0.000 0.000 0.500
```

Results
- V (Å³ per cell) = 105
- space-group type = P4/mmm (123)
- calculated density (g/cm3) = 2.7
- ΔE to the lowest computed polymorph (meV per atom) = 0
- energy relative to the elements, uncorrected (meV/atom) = 112


No. 11
Here is a relaxed structure of Ca2YRh from the Alexandria database. Energies are from PBE-GGA.

Cell and atoms, written as POSCAR:
```
Ca2YRh
1.0
3.069 -5.406 0.000
3.069 5.406 0.000
-1.386 0.000 3.170
Ca Y Rh
2 1 1
direct
0.000 0.500 0.000
0.500 0.000 0.000
0.000 0.000 0.500
0.500 0.500 0.500
```

Results
- V (Å³ per cell) = 105
- space-group type = C2/m (12)
- calculated density (g/cm3) = 4.3
- ΔE to the lowest computed polymorph (meV per atom) = 473
- energy relative to the elements (eV/atom) = 0.13


No. 12
Here is a relaxed structure of CsZnCu2Br from the Alexandria database. Energies are from PBE-GGA.

Cell and atoms, written as POSCAR:
```
CsZnCu2Br
1.0
5.788 0.000 0.000
0.000 5.788 0.000
0.000 0.000 6.613
Cs Zn Cu Br
1 1 2 1
direct
0.000 0.000 0.000
0.000 0.000 0.500
0.000 0.500 0.000
0.500 0.000 0.000
0.500 0.500 0.500
```

Results
- V (Å³ per cell) = 222
- space-group type = P4/mmm (123)
- calculated density (g/cm3) = 3.0
- energy relative to the elements, uncorrected (meV/atom) = 1154


- What is the formula in the first record?
  Pm3Zn2Ru


- Which value of calculated density does entry 2 give?
  5.7 g/cm3


- Number 1 is which compound?
  Pm3Zn2Ru


- What is the calculated density in the fourth record?
  4.8 g/cm3